A plane-wave DFT calculation with PBE-GGA was carried out for a relaxed structure of SmZrP2.

Calculated values
Energy above the lowest structure with this stoichiometry (meV/atom): 115

Structure (POSCAR):
```
SmZrP2
1.0
-0.326 -3.722 -0.854
1.942 -2.608 2.028
-4.658 -2.640 4.686
Zr P Sm
1 2 1
Direct
0.670 0.670 0.989
0.075 0.075 0.774
0.259 0.259 0.224
0.496 0.496 0.512
```